Density functional theory data (GGA-PBE) for TaAg3N after structural relaxation.

Summary:
Its crystal system is cubic. The value obtained for the total energy is -16.4 eV per cell. The uncorrected formation energy comes out at 2.4755 eV/atom. For the size of the total moment, the calculation gives 0.591 μB/atom.

```
TaAg3N
1.0
5.284 0.000 0.000
0.000 5.284 0.000
0.000 0.000 5.284
Ta Ag N
1 3 1
Direct
0.000 0.000 0.000 Ta
0.000 0.000 0.500 Ag
0.000 0.500 0.000 Ag
0.500 0.000 0.000 Ag
0.500 0.500 0.500 N
```

=====

Density functional theory data (GGA-PBE) for GaSn4Pb5 after structural relaxation.

Summary:
Its crystal system is tetragonal. The calculation puts the energy relative to the elements at 0.07 eV/atom. The value obtained for the total energy is -36.9 eV per cell. For the size of the total moment, the calculation gives 0.000 μB/atom.

```
GaSn4Pb5
1.0
4.108 0.000 0.000
0.000 4.108 0.000
0.000 0.000 17.325
Ga Sn Pb
1 4 5
Direct
0.000 0.000 0.000 Ga
0.000 0.000 0.195 Sn
0.000 0.000 0.399 Sn
0.000 0.000 0.601 Sn
0.000 0.000 0.805 Sn
0.500 0.500 0.096 Pb
0.500 0.500 0.298 Pb
0.500 0.500 0.500 Pb
0.500 0.500 0.702 Pb
0.500 0.500 0.904 Pb
```

=====

Density functional theory data (GGA-PBE) for Li5TaO5 after structural relaxation.

Summary:
Its crystal system is monoclinic. The value obtained for the total energy is -71.9 eV per cell. The uncorrected formation energy comes out at -2.3344 eV/atom. For the size of the total moment, the calculation gives 0.000 μB/atom.

```
Li5TaO5
1.0
4.929 -2.016 0.000
4.929 2.016 0.000
-1.882 0.000 5.565
Li Ta O
5 1 5
Direct
0.000 0.000 0.000 Li
0.286 0.286 0.155 Li
0.308 0.308 0.638 Li
0.692 0.692 0.362 Li
0.714 0.714 0.845 Li
0.000 0.000 0.500 Ta
0.145 0.145 0.327 O
0.156 0.156 0.817 O
0.500 0.500 0.500 O
0.844 0.844 0.183 O
0.855 0.855 0.673 O
```

=====

Density functional theory data (GGA-PBE) for Zr4PtO after structural relaxation.

Summary:
Its crystal system is monoclinic. The value obtained for the total energy is -103.4 eV per cell. The uncorrected formation energy comes out at -1.0852 eV/atom. For the size of the total moment, the calculation gives 0.000 μB/atom.

```
Zr4PtO
1.0
3.720 -6.534 0.000
3.720 6.534 0.000
-3.301 0.000 4.790
Zr Pt O
8 2 2
Direct
0.070 0.654 0.853 Zr
0.182 0.279 0.719 Zr
0.279 0.182 0.219 Zr
0.346 0.930 0.647 Zr
0.654 0.070 0.353 Zr
0.721 0.818 0.781 Zr
0.818 0.721 0.281 Zr
0.930 0.346 0.147 Zr
0.384 0.616 0.250 Pt
0.616 0.384 0.750 Pt
0.064 0.936 0.750 O
0.936 0.064 0.250 O
```

=====

Density functional theory data (GGA-PBE) for YHo2UAs4 after structural relaxation.

Summary:
Its crystal system is monoclinic. The calculation puts the energy relative to the elements at -1.33 eV/atom. The value obtained for the total energy is -56.2 eV per cell. For the size of the total moment, the calculation gives 0.293 μB/atom.

```
YHo2UAs4
1.0
7.099 0.000 0.000
0.000 4.087 0.000
-2.333 0.000 6.706
Y Ho U As
1 2 1 4
Direct
0.000 0.000 0.000 Y
0.500 0.000 0.500 Ho
0.500 0.500 0.000 Ho
0.000 0.500 0.500 U
0.249 0.000 0.748 As
0.249 0.500 0.254 As
0.751 0.000 0.252 As
0.751 0.500 0.746 As
```

=====

Density functional theory data (GGA-PBE) for CaTaCo2 after structural relaxation.

Summary:
Its crystal system is tetragonal. The calculation puts the energy relative to the elements at 0.53 eV/atom. The value obtained for the total energy is -26.0 eV per cell. For the size of the total moment, the calculation gives 0.000 μB/atom.

```
CaTaCo2
1.0
-1.843 1.843 4.664
1.843 -1.843 4.664
1.843 1.843 -4.664
Ca Ta Co
1 1 2
Direct
0.000 0.000 0.000 Ca
0.750 0.250 0.500 Ta
0.250 0.750 0.500 Co
0.500 0.500 0.000 Co
```

=====

Density functional theory data (GGA-PBE) for CaHgP2Pt after structural relaxation.

Summary:
Its crystal system is tetragonal. The calculation puts the energy relative to the elements at 0.53 eV/atom. The value obtained for the total energy is -16.5 eV per cell. For the size of the total moment, the calculation gives 0.000 μB/atom.

```
CaHgP2Pt
1.0
4.961 0.000 0.000
0.000 4.961 0.000
0.000 0.000 5.122
Ca Hg P Pt
1 1 2 1
Direct
0.000 0.000 0.000 Ca
0.500 0.500 0.500 Hg
0.000 0.500 0.500 P
0.500 0.000 0.500 P
0.500 0.500 0.000 Pt
```

=====

Density functional theory data (GGA-PBE) for Cr2ReNi after structural relaxation.

Summary:
Its crystal system is cubic. The calculation puts the energy relative to the elements at 0.18 eV/atom. The value obtained for the total energy is -36.7 eV per cell. For the size of the total moment, the calculation gives 0.458 μB/atom.

```
Cr2ReNi
1.0
0.000 2.933 2.933
2.933 0.000 2.933
2.933 2.933 0.000
Cr Re Ni
2 1 1
Direct
0.000 0.000 0.000 Cr
0.250 0.250 0.250 Cr
0.750 0.750 0.750 Re
0.500 0.500 0.500 Ni
```

=====

Density functional theory data (GGA-PBE) for BaNb2PdO8 after structural relaxation.

Summary:
Its crystal system is monoclinic. The value obtained for the total energy is -91.5 eV per cell. The uncorrected formation energy comes out at -2.0442 eV/atom. For the size of the total moment, the calculation gives 0.000 μB/atom.

```
BaNb2PdO8
1.0
4.556 -2.963 0.000
4.556 2.963 0.000
-0.219 0.000 7.690
Ba Nb Pd O
1 2 1 8
Direct
0.000 0.000 0.000 Ba
0.365 0.365 0.693 Nb
0.635 0.635 0.307 Nb
0.000 0.000 0.500 Pd
0.218 0.218 0.519 O
0.227 0.752 0.688 O
0.248 0.773 0.312 O
0.294 0.294 0.911 O
0.706 0.706 0.089 O
0.752 0.227 0.688 O
0.773 0.248 0.312 O
0.782 0.782 0.481 O
```

=====

Density functional theory data (GGA-PBE) for K3Nd3AlS8 after structural relaxation.

Summary:
Its crystal system is monoclinic. The value obtained for the total energy is -77.2 eV per cell. The uncorrected formation energy comes out at -1.5257 eV/atom. For the size of the total moment, the calculation gives 0.000 μB/atom.

```
K3Nd3AlS8
1.0
7.031 -4.056 0.000
7.031 4.056 0.000
-4.692 0.000 7.538
K Nd Al S
3 3 1 8
Direct
0.000 0.000 0.000 K
0.000 0.500 0.000 K
0.500 0.000 0.000 K
0.000 0.500 0.500 Nd
0.500 0.000 0.500 Nd
0.500 0.500 0.500 Nd
0.000 0.000 0.500 Al
0.210 0.210 0.687 S
0.210 0.766 0.687 S
0.234 0.790 0.313 S
0.264 0.264 0.291 S
0.736 0.736 0.709 S
0.766 0.210 0.687 S
0.790 0.234 0.313 S
0.790 0.790 0.313 S
```

=====

Density functional theory data (GGA-PBE) for LiZnAgSb after structural relaxation.

Summary:
Its crystal system is cubic. The value obtained for the total energy is -10.6 eV per cell. The uncorrected formation energy comes out at -0.1006 eV/atom. For the size of the total moment, the calculation gives 0.000 μB/atom.

```
LiZnAgSb
1.0
0.000 3.371 3.371
3.371 0.000 3.371
3.371 3.371 0.000
Li Zn Ag Sb
1 1 1 1
Direct
0.000 0.000 0.000 Li
0.750 0.750 0.750 Zn
0.500 0.500 0.500 Ag
0.250 0.250 0.250 Sb
```

=====

Density functional theory data (GGA-PBE) for HgAsAu after structural relaxation.

Summary:
Its crystal system is monoclinic. The calculation puts the energy relative to the elements at 0.19 eV/atom. The value obtained for the total energy is -7.6 eV per cell. For the size of the total moment, the calculation gives 0.000 μB/atom.

```
HgAsAu
1.0
1.471 -2.630 0.000
1.471 2.630 0.000
-1.412 0.000 8.144
Hg As Au
1 1 1
Direct
0.000 0.000 0.000 Hg
0.167 0.167 0.354 As
0.336 0.336 0.675 Au
```

=====

Density functional theory data (GGA-PBE) for In2SbCl after structural relaxation.

Summary:
Its crystal system is tetragonal. The value obtained for the total energy is -12.6 eV per cell. The uncorrected formation energy comes out at -0.2983 eV/atom. For the size of the total moment, the calculation gives 0.000 μB/atom.

```
In2SbCl
1.0
5.574 0.000 0.000
0.000 5.574 0.000
0.000 0.000 3.489
In Sb Cl
2 1 1
Direct
0.000 0.500 0.000 In
0.500 0.000 0.000 In
0.000 0.000 0.500 Sb
0.500 0.500 0.500 Cl
```